Material: BaIn6Sn
Method: DFT, GGA-PBE
State: relaxed

The structure in extended XYZ format:
```
8
Lattice="-1.536 -4.570 2.490 0.652 -2.745 -4.635 8.054 -1.580 2.069" Properties=species:S:1:pos:R:3 pbc="T T T"
In 5.800 -2.446 -0.912
Ba 0.000 0.000 0.000
Sn 4.027 -0.790 1.034
In 0.916 -3.924 -0.724
In 2.906 -1.878 -1.655
In 6.254 -4.971 0.648
In 4.706 -3.359 2.651
In 1.812 -2.791 1.908
```

Computed properties:
As for the calculated total energy: -2.979 eV per atom. As for the formation energy: -0.185 eV per atom. As for the space group: P4/mmm, No. 123.

***

Material: Mg2TaFe
Method: DFT, GGA-PBE
State: relaxed

The structure in extended XYZ format:
```
4
Lattice="-4.271 2.812 1.290 -0.890 -5.419 -0.846 -0.373 -0.780 2.594" Properties=species:S:1:pos:R:3 pbc="T T T"
Mg 0.000 0.000 0.000
Fe -2.580 -1.304 0.222
Mg -2.322 1.016 1.942
Ta -0.631 -3.100 0.874
```

Computed properties:
As for the calculated total energy: -5.518 eV per atom. Its distance to the lowest polymorph of the same formula is 0.2689 eV per atom. As for the formation energy: 0.359 eV per atom. As for the space group: C2/m, No. 12.